A plane-wave DFT calculation with PBE was carried out for a geometry-optimized CsBePbAu structure.

Unit cell a=5.439 b=5.439 c=5.439 alpha=60.00 beta=60.00 gamma=60.00
Fractional positions:
Pb 0.250 0.250 0.250
Au 0.750 0.750 0.750
Be 0.500 0.500 0.500
Cs 0.000 0.000 0.000

Computed properties:
**ΔE to the lowest computed polymorph**: 142 meV per atom

---

A plane-wave DFT calculation with PBE was carried out for a geometry-optimized Y4FeSnN2 structure.

Unit cell a=3.491 b=3.491 c=14.654 alpha=90.00 beta=90.00 gamma=120.00
Fractional positions:
N 0.333 0.667 0.242
N 0.333 0.667 0.758
Y 0.667 0.333 0.865
Y 0.000 0.000 0.676
Y 0.667 0.333 0.135
Y 0.000 0.000 0.324
Fe 0.000 0.000 0.000
Sn 0.667 0.333 0.500

Computed properties:
**Size of the total moment**: 0.08 μB/atom

---

A plane-wave DFT calculation with PBE was carried out for a geometry-optimized Gd3Mg3ZnIn2 structure.

Unit cell a=7.514 b=7.514 c=4.609 alpha=90.00 beta=90.00 gamma=120.00
Fractional positions:
Zn 0.000 0.000 0.000
In 0.333 0.667 0.500
In 0.667 0.333 0.500
Mg 0.235 0.000 0.500
Mg 0.000 0.235 0.500
Mg 0.765 0.765 0.500
Gd 0.413 0.413 0.000
Gd 0.000 0.587 0.000
Gd 0.587 0.000 0.000

Computed properties:
**Size of the total moment**: 0.00 μB/atom

---

A plane-wave DFT calculation with PBE was carried out for a geometry-optimized NpZnAu structure.

Unit cell a=4.621 b=4.621 c=4.621 alpha=60.00 beta=60.00 gamma=60.00
Fractional positions:
Au 0.250 0.250 0.250
Zn 0.000 0.000 0.000
Np 0.750 0.750 0.750

Computed properties:
**Size of the total moment**: 1.50 μB/atom
**Formation enthalpy at 0 K**: 5.45 kcal/mol of atoms

---

A plane-wave DFT calculation with PBE was carried out for a geometry-optimized Pd2SO structure.

Unit cell a=5.994 b=5.994 c=6.333 alpha=90.00 beta=90.00 gamma=30.73
Fractional positions:
Pd 0.000 0.000 0.713
Pd 0.260 0.260 0.966
Pd 0.740 0.740 0.466
Pd 0.000 0.000 0.213
O 0.116 0.116 0.464
O 0.884 0.884 0.964
S 0.386 0.386 0.465
S 0.614 0.614 0.965

Computed properties:
**ΔE to the lowest computed polymorph**: 174 meV per atom

---

A plane-wave DFT calculation with PBE was carried out for a geometry-optimized BaSmCdTe3 structure.

Unit cell a=8.290 b=8.290 c=11.483 alpha=90.00 beta=90.00 gamma=148.37
Fractional positions:
Sm 0.500 0.500 0.500
Sm 0.500 0.500 0.000
Ba 0.267 0.733 0.750
Ba 0.733 0.267 0.250
Te 0.593 0.407 0.750
Te 0.407 0.593 0.250
Te 0.138 0.862 0.052
Te 0.862 0.138 0.948
Te 0.862 0.138 0.552
Te 0.138 0.862 0.448
Cd 0.026 0.974 0.250
Cd 0.974 0.026 0.750

Computed properties:
**Size of the total moment**: 0.00 μB/atom

---

| no. | DFT total energy (hartree per atom) |
| --- | --- |
| 1 | -0.07730 |
| 2 | -0.28245 |
| 3 | -0.11727 |
| 4 | -0.20325 |
| 5 | -0.18685 |
| 6 | -0.14531 |